(1)
# Ca2YIn, relaxed, DFT PBE-GGA
# crystal system	orthorhombic
# VASP energy	-3.469	eV/atom
data_Ca2YIn
_cell_length_a 3.9279
_cell_length_b 5.5526
_cell_length_c 11.8741
_cell_angle_alpha 90.00
_cell_angle_beta 90.00
_cell_angle_gamma 90.00
_space_group_name_H-M_alt 'I m m m'
_space_group_IT_number 71
_space_group_name_Hall '-I 2 2'
loop_
_atom_site_label
_atom_site_type_symbol
_atom_site_fract_x
_atom_site_fract_y
_atom_site_fract_z
Ca1 Ca 0.0000 0.0000 0.2200
Y1 Y 0.0000 0.5000 0.0000
In1 In 0.0000 0.5000 0.5000

(2)
# Ca2YIn, relaxed, DFT PBE-GGA
# crystal system	orthorhombic
# VASP energy	-3.478	eV/atom
data_Ca2YIn
_cell_length_a 3.9245
_cell_length_b 5.6720
_cell_length_c 11.8811
_cell_angle_alpha 90.00
_cell_angle_beta 90.00
_cell_angle_gamma 90.00
_space_group_name_H-M_alt 'I m m 2'
_space_group_IT_number 44
loop_
_space_group_symop_operation_xyz
'x,y,z'
'-x,-y,z'
'-x,y,z'
'x,-y,z'
'x+1/2,y+1/2,z+1/2'
'-x+1/2,-y+1/2,z+1/2'
'-x+1/2,y+1/2,z+1/2'
'x+1/2,-y+1/2,z+1/2'
loop_
_atom_site_label
_atom_site_type_symbol
_atom_site_fract_x
_atom_site_fract_y
_atom_site_fract_z
Ca1 Ca 0.0000 0.0000 0.0000
Ca2 Ca 0.0000 0.5000 0.2149
Y1 Y 0.0000 0.5000 0.7854
In1 In 0.0000 0.0000 0.4950

(3)
# CaYIn, relaxed, DFT PBE-GGA
# crystal system	trigonal
# energy above the lowest structure with this stoichiometry	185.9	meV/atom
# VASP energy	-3.952	eV/atom
data_CaYIn
_cell_length_a 5.3369
_cell_length_b 5.3369
_cell_length_c 3.6717
_cell_angle_alpha 90.00
_cell_angle_beta 90.00
_cell_angle_gamma 120.00
_space_group_name_H-M_alt 'P 3 m 1'
_space_group_IT_number 156
loop_
_space_group_symop_operation_xyz
'x,y,z'
'-y,x-y,z'
'-x+y,-x,z'
'-y,-x,z'
'-x+y,y,z'
'x,x-y,z'
loop_
_atom_site_label
_atom_site_type_symbol
_atom_site_fract_x
_atom_site_fract_y
_atom_site_fract_z
Ca1 Ca 0.0000 0.0000 0.0000
Y1 Y 0.3333 0.6667 0.5617
In1 In 0.6667 0.3333 0.2926

(4)
# CaYIn, relaxed, DFT PBE-GGA
# crystal system	tetragonal
# energy above the lowest structure with this stoichiometry	113.9	meV/atom
# VASP energy	-4.024	eV/atom
data_CaYIn
_cell_length_a 3.6261
_cell_length_b 3.6261
_cell_length_c 14.0908
_cell_angle_alpha 90.00
_cell_angle_beta 90.00
_cell_angle_gamma 90.00
_space_group_name_H-M_alt 'I 4 m m'
_space_group_IT_number 107
_space_group_name_Hall 'I 4 -2'
loop_
_atom_site_label
_atom_site_type_symbol
_atom_site_fract_x
_atom_site_fract_y
_atom_site_fract_z
Ca1 Ca 0.0000 0.0000 0.0000
Y1 Y 0.0000 0.0000 0.2943
In1 In 0.0000 0.0000 0.6528

(5)
# CaY4In5, relaxed, DFT PBE-GGA
# crystal system	tetragonal
# VASP energy	-4.645	eV/atom
data_CaY4In5
_cell_length_a 3.7651
_cell_length_b 3.7651
_cell_length_c 19.1182
_cell_angle_alpha 90.00
_cell_angle_beta 90.00
_cell_angle_gamma 90.00
_space_group_name_H-M_alt 'P 4/m m m'
_space_group_IT_number 123
_space_group_name_Hall '-P 4 2'
loop_
_atom_site_label
_atom_site_type_symbol
_atom_site_fract_x
_atom_site_fract_y
_atom_site_fract_z
Ca1 Ca 0.0000 0.0000 0.0000
Y1 Y 0.0000 0.0000 0.2024
Y2 Y 0.0000 0.0000 0.4015
In1 In 0.5000 0.5000 0.1039
In2 In 0.5000 0.5000 0.3025
In3 In 0.5000 0.5000 0.5000

(6)
# Ca2YIn, relaxed, DFT PBE-GGA
# crystal system	tetragonal
# VASP energy	-3.459	eV/atom
data_Ca2YIn
_cell_length_a 3.6044
_cell_length_b 3.6044
_cell_length_c 10.0463
_cell_angle_alpha 90.00
_cell_angle_beta 90.00
_cell_angle_gamma 90.00
_space_group_name_H-M_alt 'P 4/m m m'
_space_group_IT_number 123
_space_group_name_Hall '-P 4 2'
loop_
_atom_site_label
_atom_site_type_symbol
_atom_site_fract_x
_atom_site_fract_y
_atom_site_fract_z
Ca1 Ca 0.0000 0.0000 0.2166
Y1 Y 0.5000 0.5000 0.5000
In1 In 0.5000 0.5000 0.0000